No. 1
Here is crystalline In2TeF at its relaxed geometry from the Alexandria database. Energies are from PBE-GGA.

Lattice parameters (Å, degrees): 7.0621 7.0621 7.0621 44.21 44.21 44.21
Atoms (fractional coordinates):
In 0.1154 0.1154 0.1154
In 0.8846 0.8846 0.8846
Te 0.5000 0.5000 0.5000
F 0.0000 0.0000 0.0000

ΔE to the lowest computed polymorph, meV per atom: 0.0
Density of states at the Fermi level, states/eV/f.u.: 2.07
SG: No. 166


No. 2
Here is crystalline Ti2InTeF at its relaxed geometry from the Alexandria database. Energies are from PBE-GGA.

Lattice parameters (Å, degrees): 5.3777 5.3777 5.4346 90.00 90.00 90.00
Atoms (fractional coordinates):
Ti 0.0000 0.5000 0.0000
Ti 0.5000 0.0000 0.0000
In 0.0000 0.0000 0.0000
Te 0.0000 0.0000 0.5000
F 0.5000 0.5000 0.5000

Density of states at the Fermi level, states/eV/f.u.: 6.53
DFT total energy, eV per formula unit: -19.8
SG: No. 123


No. 3
Here is crystalline Tl2InTeF at its relaxed geometry from the Alexandria database. Energies are from PBE-GGA.

Lattice parameters (Å, degrees): 5.3790 5.3790 5.1709 90.00 90.00 90.00
Atoms (fractional coordinates):
Tl 0.0000 0.5000 0.0000
Tl 0.5000 0.0000 0.0000
In 0.0000 0.0000 0.5000
Te 0.5000 0.5000 0.5000
F 0.0000 0.0000 0.0000

Density of states at the Fermi level, states/eV/f.u.: 0.17
DFT total energy, eV per formula unit: -16.3
SG: No. 123


No. 4
Here is crystalline ZrInTe2F at its relaxed geometry from the Alexandria database. Energies are from PBE-GGA.

Lattice parameters (Å, degrees): 5.7470 5.7470 4.2385 90.00 90.00 90.00
Atoms (fractional coordinates):
Zr 0.0000 0.0000 0.0000
In 0.5000 0.5000 0.5000
Te 0.0000 0.5000 0.0000
Te 0.5000 0.0000 0.0000
F 0.0000 0.0000 0.5000

Density of states at the Fermi level, states/eV/f.u.: 1.10
DFT total energy, eV per formula unit: -25.6
SG: No. 123


No. 5
Here is crystalline ThInF at its relaxed geometry from the Alexandria database. Energies are from PBE-GGA.

Lattice parameters (Å, degrees): 13.3674 13.3674 13.3674 15.14 15.14 15.14
Atoms (fractional coordinates):
Th 0.0000 0.0000 0.0000
Th 0.4705 0.4705 0.4705
In 0.2053 0.2053 0.2053
In 0.5977 0.5977 0.5977
F 0.3719 0.3719 0.3719
F 0.7654 0.7654 0.7654

Density of states at the Fermi level, states/eV/f.u.: 1.86
DFT total energy, eV per formula unit: -16.5
SG: No. 160


No. 6
Here is crystalline ThIn3F8 at its relaxed geometry from the Alexandria database. Energies are from PBE-GGA.

Lattice parameters (Å, degrees): 6.0172 6.0172 6.0172 90.00 90.00 90.00
Atoms (fractional coordinates):
Th 0.0000 0.0000 0.0000
In 0.0000 0.5000 0.5000
In 0.5000 0.0000 0.5000
In 0.5000 0.5000 0.0000
F 0.2270 0.2270 0.2270
F 0.2270 0.2270 0.7730
F 0.2270 0.7730 0.2270
F 0.2270 0.7730 0.7730
F 0.7730 0.2270 0.2270
F 0.7730 0.2270 0.7730
F 0.7730 0.7730 0.2270
F 0.7730 0.7730 0.7730

Density of states at the Fermi level, states/eV/f.u.: 9.07
DFT total energy, eV per formula unit: -63.2
SG: No. 221


No. 7
Here is crystalline ThIn2F11 at its relaxed geometry from the Alexandria database. Energies are from PBE-GGA.

Lattice parameters (Å, degrees): 8.5751 8.5751 8.5751 123.87 106.89 98.75
Atoms (fractional coordinates):
Th 0.2500 0.2500 0.0000
Th 0.7500 0.7500 0.0000
In 0.1932 0.6613 0.8546
In 0.3068 0.1613 0.4681
In 0.6932 0.8387 0.5319
In 0.8068 0.3387 0.1454
F 0.0000 0.5000 0.5000
F 0.0349 0.9657 0.2783
F 0.0504 0.3478 0.1373
F 0.1874 0.4657 0.9308
F 0.1919 0.3929 0.5848
F 0.2105 0.9130 0.8627
F 0.2895 0.1522 0.7026
F 0.3081 0.8929 0.2010
F 0.3126 0.2434 0.2783
F 0.4496 0.5870 0.2974
F 0.4651 0.7434 0.9308
F 0.5000 0.0000 0.5000
F 0.5349 0.2566 0.0692
F 0.5504 0.4130 0.7026
F 0.6874 0.7566 0.7217
F 0.6919 0.1071 0.7990
F 0.7105 0.8478 0.2974
F 0.7895 0.0870 0.1373
F 0.8081 0.6071 0.4152
F 0.8126 0.5343 0.0692
F 0.9496 0.6522 0.8627
F 0.9651 0.0343 0.7217

DFT total energy, eV per formula unit: -73.6
SG: No. 72


No. 8
Here is crystalline TiInF3 at its relaxed geometry from the Alexandria database. Energies are from PBE-GGA.

Lattice parameters (Å, degrees): 4.2552 4.2552 4.2552 90.00 90.00 90.00
Atoms (fractional coordinates):
Ti 0.0000 0.0000 0.0000
In 0.5000 0.5000 0.5000
F 0.0000 0.0000 0.5000
F 0.0000 0.5000 0.0000
F 0.5000 0.0000 0.0000

ΔE to the lowest computed polymorph, meV per atom: 0.0
Density of states at the Fermi level, states/eV/f.u.: 4.75
SG: No. 221


No. 9
Here is crystalline Ti3InF at its relaxed geometry from the Alexandria database. Energies are from PBE-GGA.

Lattice parameters (Å, degrees): 4.2870 4.2870 4.2870 90.00 90.00 90.00
Atoms (fractional coordinates):
Ti 0.0000 0.0000 0.5000
Ti 0.0000 0.5000 0.0000
Ti 0.5000 0.0000 0.0000
In 0.5000 0.5000 0.5000
F 0.0000 0.0000 0.0000

ΔE to the lowest computed polymorph, meV per atom: 0.0
Density of states at the Fermi level, states/eV/f.u.: 6.03
SG: No. 221


No. 10
Here is crystalline TiIn3F7 at its relaxed geometry from the Alexandria database. Energies are from PBE-GGA.

Lattice parameters (Å, degrees): 5.9475 5.9475 6.8846 109.97 109.97 89.23
Atoms (fractional coordinates):
Ti 0.0000 0.0000 0.0000
In 0.2602 0.7418 0.4653
In 0.4885 0.4885 0.9337
In 0.7418 0.2602 0.4653
F 0.0147 0.6918 0.8078
F 0.1510 0.1510 0.8707
F 0.3068 0.9804 0.2078
F 0.5246 0.5246 0.2855
F 0.6918 0.0147 0.8078
F 0.8555 0.8555 0.1478
F 0.9804 0.3068 0.2078

Density of states at the Fermi level, states/eV/f.u.: 0.00
DFT total energy, eV per formula unit: -56.8
SG: No. 8


No. 11
Here is crystalline TiInF at its relaxed geometry from the Alexandria database. Energies are from PBE-GGA.

Lattice parameters (Å, degrees): 5.9846 5.9846 8.0435 114.83 114.83 27.90
Atoms (fractional coordinates):
Ti 0.2230 0.2230 0.1462
Ti 0.7770 0.7770 0.8538
In 0.4919 0.4919 0.1762
In 0.5081 0.5081 0.8238
F 0.1957 0.1957 0.6612
F 0.8043 0.8043 0.3388

Density of states at the Fermi level, states/eV/f.u.: 1.24
DFT total energy, eV per formula unit: -16.3
SG: No. 12


No. 12
Here is crystalline TiIn6F12 at its relaxed geometry from the Alexandria database. Energies are from PBE-GGA.

Lattice parameters (Å, degrees): 7.3860 7.3860 7.3860 102.76 102.76 102.76
Atoms (fractional coordinates):
Ti 0.0000 0.0000 0.0000
In 0.1585 0.3037 0.5848
In 0.3037 0.5848 0.1585
In 0.4152 0.8415 0.6963
In 0.5848 0.1585 0.3037
In 0.6963 0.4152 0.8415
In 0.8415 0.6963 0.4152
F 0.0016 0.0766 0.2638
F 0.0766 0.2638 0.0016
F 0.2032 0.5285 0.4188
F 0.2638 0.0016 0.0766
F 0.4188 0.2032 0.5285
F 0.4715 0.5812 0.7968
F 0.5285 0.4188 0.2032
F 0.5812 0.7968 0.4715
F 0.7362 0.9984 0.9234
F 0.7968 0.4715 0.5812
F 0.9234 0.7362 0.9984
F 0.9984 0.9234 0.7362

Density of states at the Fermi level, states/eV/f.u.: 8.74
DFT total energy, eV per formula unit: -89.0
SG: No. 148


No. 13
Here is crystalline TiInF3 at its relaxed geometry from the Alexandria database. Energies are from PBE-GGA.

Lattice parameters (Å, degrees): 4.4870 4.4870 4.4870 90.00 90.00 90.00
Atoms (fractional coordinates):
Ti 0.0000 0.0000 0.0000
In 0.5000 0.5000 0.5000
F 0.0000 0.5000 0.5000
F 0.5000 0.0000 0.5000
F 0.5000 0.5000 0.0000

ΔE to the lowest computed polymorph, meV per atom: 984.3
Density of states at the Fermi level, states/eV/f.u.: 4.82
SG: No. 221


No. 14
Here is crystalline Ti3InF at its relaxed geometry from the Alexandria database. Energies are from PBE-GGA.

Lattice parameters (Å, degrees): 5.2096 5.2096 5.2096 90.00 90.00 90.00
Atoms (fractional coordinates):
Ti 0.0000 0.0000 0.5000
Ti 0.0000 0.5000 0.0000
Ti 0.5000 0.0000 0.0000
In 0.0000 0.0000 0.0000
F 0.5000 0.5000 0.5000

ΔE to the lowest computed polymorph, meV per atom: 1592.8
Density of states at the Fermi level, states/eV/f.u.: 6.99
SG: No. 221


No. 15
Here is crystalline TiTlIn2F6 at its relaxed geometry from the Alexandria database. Energies are from PBE-GGA.

Lattice parameters (Å, degrees): 6.1924 9.1076 7.4046 90.00 90.00 90.00
Atoms (fractional coordinates):
Ti 0.2500 0.2500 0.2093
Ti 0.7500 0.7500 0.7907
Tl 0.2500 0.7500 0.3132
Tl 0.7500 0.2500 0.6868
In 0.2500 0.5499 0.8169
In 0.2500 0.9501 0.8169
In 0.7500 0.0499 0.1831
In 0.7500 0.4501 0.1831
F 0.0086 0.2500 0.3862
F 0.0124 0.7500 0.9670
F 0.2500 0.0385 0.1837
F 0.2500 0.4615 0.1837
F 0.4876 0.7500 0.9670
F 0.4914 0.2500 0.3862
F 0.5086 0.7500 0.6138
F 0.5124 0.2500 0.0330
F 0.7500 0.5385 0.8163
F 0.7500 0.9615 0.8163
F 0.9876 0.2500 0.0330
F 0.9914 0.7500 0.6138

Density of states at the Fermi level, states/eV/f.u.: 2.66
DFT total energy, eV per formula unit: -50.4
SG: No. 59


No. 16
Here is crystalline TiTlIn2F8 at its relaxed geometry from the Alexandria database. Energies are from PBE-GGA.

Lattice parameters (Å, degrees): 5.5239 5.7186 7.0242 93.61 94.31 93.29
Atoms (fractional coordinates):
Ti 0.0000 0.0000 0.0000
Tl 0.0000 0.0000 0.5000
In 0.4780 0.5158 0.2309
In 0.5220 0.4842 0.7691
F 0.1406 0.7635 0.1407
F 0.1446 0.2373 0.1892
F 0.2739 0.0318 0.8598
F 0.3757 0.6795 0.5085
F 0.6243 0.3205 0.4915
F 0.7261 0.9682 0.1402
F 0.8554 0.7627 0.8108
F 0.8594 0.2365 0.8593

Density of states at the Fermi level, states/eV/f.u.: 3.02
DFT total energy, eV per formula unit: -61.1
SG: No. 2